Computed, not measured: a relaxed structure of Pm2MnBiO6 at the PBE with a Hubbard U level of DFT.

a = 5.4439 Å, b = 5.3748 Å, c = 5.3748 Å
α = 90.00°, β = 90.00°, γ = 90.00°
Closest atoms and distances in Å follow each position.
Positions (direct):
Pm1 0.9955 0.5000 0.0000  4 O 2.36
Pm2 0.9955 0.0000 0.5000  4 O 2.36
Mn1 0.6151 0.0000 0.0000  5 O 1.94-2.14
Bi1 0.5428 0.5000 0.5000  5 O 2.25-2.30
O1 0.7391 0.2397 0.2397  1 Mn 1.94
O2 0.7391 0.2397 0.7603  1 Mn 1.94
O3 0.1204 0.5000 0.5000  1 Bi 2.30
O4 0.2211 0.0000 0.0000  1 Mn 2.14
O5 0.7391 0.7603 0.7603  1 Mn 1.94
O6 0.7391 0.7603 0.2397  1 Mn 1.94

Computed properties:
- E: -7.22 eV per atom
- Space group: P4mm (99)
- Magnetic moment: 3.99 Bohr magnetons per cell